Record 1
Below is crystalline BiAsN at its relaxed geometry, with properties calculated at the PBE level.

a = 4.0401 Å, b = 4.0423 Å, c = 14.3733 Å
α = 88.29°, β = 82.16°, γ = 60.02°
Closest atoms and distances in Å follow each position.
Space group P1 (No. 1)
Asymmetric unit:
Bi1 0.0000 0.0000 0.0000 (multiplicity 1)  3 As 2.80
Bi2 0.4417 0.7334 0.3954 (multiplicity 1)  3 As 2.80
As1 0.1712 0.3801 0.2864 (multiplicity 1)  3 Bi 2.80
As2 0.6040 0.6862 0.1089 (multiplicity 1)  3 Bi 2.80
N1 0.6635 0.9448 0.7248 (multiplicity 1)  1 N 1.11
N2 0.8116 0.7032 0.6711 (multiplicity 1)  1 N 1.11

## Properties
The value obtained for the calculated volume is 33.54 Å³/atom. The energy relative to the elements, uncorrected comes out at 0.055 eV per atom. Its final energy is -5.563 eV per atom. Its excess energy over the best structure of this formula in the dataset is 0 meV per atom.



Record 2
Below is crystalline Bi2AsN at its relaxed geometry, with properties calculated at the PBE level.

a = 6.9545 Å, b = 6.9545 Å, c = 6.9545 Å
α = 90.00°, β = 90.00°, γ = 90.00°
Closest atoms and distances in Å follow each position.
Space group Fm-3m (No. 225)
Asymmetric unit:
Bi1 0.2500 0.2500 0.2500 (multiplicity 8)  4 As 3.01, 4 N 3.01
As1 0.0000 0.0000 0.0000 (multiplicity 4)  8 Bi 3.01
N1 0.0000 0.0000 0.5000 (multiplicity 4)  8 Bi 3.01

## Properties
The value obtained for the calculated volume is 21.02 Å³/atom. The energy relative to the elements, uncorrected comes out at 0.987 eV per atom. Its final energy is -4.197 eV per atom. Its excess energy over the best structure of this formula in the dataset is 459 meV per atom.